Entry P
# Sc2TlCr

An optimized crystal structure of Sc2TlCr (PBE-GGA, the Alexandria database).

a = 3.1809 Å, b = 5.0899 Å, c = 11.7386 Å
α = 90.00°, β = 90.00°, γ = 90.00°
Positions (direct):
Sc 0.0000 0.0000 0.2425
Sc 0.0000 0.0000 0.7575
Sc 0.5000 0.5000 0.2575
Sc 0.5000 0.5000 0.7425
Tl 0.0000 0.0000 0.5000
Tl 0.5000 0.5000 0.0000
Cr 0.0000 0.0000 0.0000
Cr 0.5000 0.5000 0.5000

## Properties
Density: 6.05 g/cm³



Entry Q
# Sc2TlCr

An optimized crystal structure of Sc2TlCr (PBE-GGA, the Alexandria database).

a = 6.8924 Å, b = 6.8924 Å, c = 6.8924 Å
α = 90.00°, β = 90.00°, γ = 90.00°
Positions (direct):
Sc 0.0000 0.0000 0.0000
Sc 0.0000 0.5000 0.5000
Sc 0.2500 0.2500 0.2500
Sc 0.2500 0.7500 0.7500
Sc 0.5000 0.0000 0.5000
Sc 0.5000 0.5000 0.0000
Sc 0.7500 0.2500 0.7500
Sc 0.7500 0.7500 0.2500
Tl 0.0000 0.0000 0.5000
Tl 0.0000 0.5000 0.0000
Tl 0.5000 0.0000 0.0000
Tl 0.5000 0.5000 0.5000
Cr 0.2500 0.2500 0.7500
Cr 0.2500 0.7500 0.2500
Cr 0.7500 0.2500 0.2500
Cr 0.7500 0.7500 0.7500

## Properties
Density: 7.02 g/cm³



Entry R
# Sc2TlCr

An optimized crystal structure of Sc2TlCr (PBE-GGA, the Alexandria database).

a = 9.7084 Å, b = 3.2892 Å, c = 5.6683 Å
α = 90.00°, β = 100.82°, γ = 90.00°
Positions (direct):
Sc 0.2469 0.0000 0.2377
Sc 0.2531 0.5000 0.7623
Sc 0.7469 0.5000 0.2377
Sc 0.7531 0.0000 0.7623
Tl 0.0000 0.0000 0.5000
Tl 0.5000 0.5000 0.5000
Cr 0.0000 0.5000 0.0000
Cr 0.5000 0.0000 0.0000

## Properties
Density: 6.47 g/cm³



Entry S
# Sc2TlCr

An optimized crystal structure of Sc2TlCr (PBE-GGA, the Alexandria database).

a = 7.5541 Å, b = 7.5541 Å, c = 5.8214 Å
α = 90.00°, β = 90.00°, γ = 90.00°
Positions (direct):
Sc 0.2105 0.7500 0.1250
Sc 0.2500 0.2105 0.8750
Sc 0.2500 0.2895 0.3750
Sc 0.2895 0.7500 0.6250
Sc 0.7105 0.2500 0.6250
Sc 0.7500 0.7105 0.3750
Sc 0.7500 0.7895 0.8750
Sc 0.7895 0.2500 0.1250
Tl 0.0000 0.0000 0.5000
Tl 0.0000 0.5000 0.7500
Tl 0.5000 0.0000 0.2500
Tl 0.5000 0.5000 0.0000
Cr 0.0000 0.0000 0.0000
Cr 0.0000 0.5000 0.2500
Cr 0.5000 0.0000 0.7500
Cr 0.5000 0.5000 0.5000

## Properties
Density: 6.92 g/cm³



Which of them is least stable? Easy: entry P.



Entry P
# Sc2TlCr

An optimized crystal structure of Sc2TlCr (PBE-GGA, the Alexandria database).

a = 3.4027 Å, b = 3.4027 Å, c = 7.1497 Å
α = 90.00°, β = 90.00°, γ = 90.00°
Positions (direct):
Sc 0.0000 0.0000 0.2217
Sc 0.0000 0.0000 0.7783
Tl 0.5000 0.5000 0.5000
Cr 0.5000 0.5000 0.0000

## Properties
Density: 6.95 g/cm³



Entry Q
# Sc2TlCr

An optimized crystal structure of Sc2TlCr (PBE-GGA, the Alexandria database).

a = 3.2600 Å, b = 3.2600 Å, c = 28.0265 Å
α = 90.00°, β = 90.00°, γ = 120.00°
Positions (direct):
Sc 0.0000 0.0000 0.2414
Sc 0.0000 0.0000 0.7586
Sc 0.3333 0.6667 0.4252
Sc 0.3333 0.6667 0.9081
Sc 0.6667 0.3333 0.0919
Sc 0.6667 0.3333 0.5748
Tl 0.0000 0.0000 0.0000
Tl 0.3333 0.6667 0.6667
Tl 0.6667 0.3333 0.3333
Cr 0.0000 0.0000 0.5000
Cr 0.3333 0.6667 0.1667
Cr 0.6667 0.3333 0.8333

## Properties
Density: 6.69 g/cm³



Entry R
# Sc2TlCr

An optimized crystal structure of Sc2TlCr (PBE-GGA, the Alexandria database).

a = 6.9893 Å, b = 6.9893 Å, c = 6.9893 Å
α = 90.00°, β = 90.00°, γ = 90.00°
Positions (direct):
Sc 0.2500 0.2500 0.2500
Sc 0.2500 0.2500 0.7500
Sc 0.2500 0.7500 0.2500
Sc 0.2500 0.7500 0.7500
Sc 0.7500 0.2500 0.2500
Sc 0.7500 0.2500 0.7500
Sc 0.7500 0.7500 0.2500
Sc 0.7500 0.7500 0.7500
Tl 0.0000 0.0000 0.0000
Tl 0.0000 0.5000 0.5000
Tl 0.5000 0.0000 0.5000
Tl 0.5000 0.5000 0.0000
Cr 0.0000 0.0000 0.5000
Cr 0.0000 0.5000 0.0000
Cr 0.5000 0.0000 0.0000
Cr 0.5000 0.5000 0.5000

## Properties
Density: 6.74 g/cm³



Which of them is least stable? Easy: entry Q.



Entry P
# Sc2TlCr

An optimized crystal structure of Sc2TlCr (PBE-GGA, the Alexandria database).

a = 3.2461 Å, b = 3.2461 Å, c = 30.7086 Å
α = 90.00°, β = 90.00°, γ = 120.00°
Positions (direct):
Sc 0.0000 0.0000 0.0996
Sc 0.0000 0.0000 0.9004
Sc 0.3333 0.6667 0.5670
Sc 0.3333 0.6667 0.7663
Sc 0.6667 0.3333 0.2337
Sc 0.6667 0.3333 0.4330
Tl 0.0000 0.0000 0.0000
Tl 0.3333 0.6667 0.6667
Tl 0.6667 0.3333 0.3333
Cr 0.0000 0.0000 0.5000
Cr 0.3333 0.6667 0.1667
Cr 0.6667 0.3333 0.8333

## Properties
Density: 6.16 g/cm³



Entry Q
# Sc2TlCr

An optimized crystal structure of Sc2TlCr (PBE-GGA, the Alexandria database).

a = 3.6823 Å, b = 3.6823 Å, c = 6.4458 Å
α = 90.00°, β = 90.00°, γ = 90.00°
Positions (direct):
Sc 0.0000 0.0000 0.0000
Sc 0.5000 0.5000 0.2747
Tl 0.0000 0.0000 0.5316
Cr 0.5000 0.5000 0.7865

## Properties
Density: 6.58 g/cm³



Entry R
# Sc2TlCr

An optimized crystal structure of Sc2TlCr (PBE-GGA, the Alexandria database).

a = 4.5749 Å, b = 4.5749 Å, c = 4.0661 Å
α = 90.00°, β = 90.00°, γ = 90.00°
Positions (direct):
Sc 0.0000 0.5000 0.0000
Sc 0.5000 0.0000 0.0000
Tl 0.0000 0.0000 0.5000
Cr 0.5000 0.5000 0.5000

## Properties
Density: 6.76 g/cm³



Which of them is least stable? Easy: entry P.



Entry P
# ScTl3Cr

An optimized crystal structure of ScTl3Cr (PBE-GGA, the Alexandria database).

a = 5.4831 Å, b = 5.4831 Å, c = 5.4831 Å
α = 90.00°, β = 90.00°, γ = 90.00°
Positions (direct):
Sc 0.0000 0.0000 0.0000
Tl 0.0000 0.0000 0.5000
Tl 0.0000 0.5000 0.0000
Tl 0.5000 0.0000 0.0000
Cr 0.5000 0.5000 0.5000

## Properties
Density: 7.15 g/cm³



Entry Q
# ScTl3Cr

An optimized crystal structure of ScTl3Cr (PBE-GGA, the Alexandria database).

a = 5.1535 Å, b = 5.1535 Å, c = 5.1535 Å
α = 90.00°, β = 90.00°, γ = 90.00°
Positions (direct):
Sc 0.0000 0.0000 0.0000
Tl 0.0000 0.5000 0.5000
Tl 0.5000 0.0000 0.5000
Tl 0.5000 0.5000 0.0000
Cr 0.5000 0.5000 0.5000

## Properties
Density: 8.62 g/cm³



Which of them is least stable? Easy: entry P.



Entry P
# Sc3TlCr

An optimized crystal structure of Sc3TlCr (PBE-GGA, the Alexandria database).

a = 4.8908 Å, b = 4.8908 Å, c = 4.8908 Å
α = 90.00°, β = 90.00°, γ = 90.00°
Positions (direct):
Sc 0.0000 0.0000 0.5000
Sc 0.0000 0.5000 0.0000
Sc 0.5000 0.0000 0.0000
Tl 0.5000 0.5000 0.5000
Cr 0.0000 0.0000 0.0000

## Properties
Density: 5.55 g/cm³



Entry Q
# Sc3TlCr

An optimized crystal structure of Sc3TlCr (PBE-GGA, the Alexandria database).

a = 5.3574 Å, b = 5.3574 Å, c = 5.3574 Å
α = 90.00°, β = 90.00°, γ = 90.00°
Positions (direct):
Sc 0.0000 0.0000 0.5000
Sc 0.0000 0.5000 0.0000
Sc 0.5000 0.0000 0.0000
Tl 0.0000 0.0000 0.0000
Cr 0.5000 0.5000 0.5000

## Properties
Density: 4.23 g/cm³



Which of them is least stable? Easy: entry Q.



Entry P
# ScTlCr

An optimized crystal structure of ScTlCr (PBE-GGA, the Alexandria database).

a = 6.5542 Å, b = 6.5542 Å, c = 6.5542 Å
α = 90.00°, β = 90.00°, γ = 90.00°
Positions (direct):
Sc 0.0000 0.0000 0.0000
Sc 0.0000 0.5000 0.5000
Sc 0.5000 0.0000 0.5000
Sc 0.5000 0.5000 0.0000
Tl 0.0000 0.0000 0.5000
Tl 0.0000 0.5000 0.0000
Tl 0.5000 0.0000 0.0000
Tl 0.5000 0.5000 0.5000
Cr 0.2500 0.2500 0.7500
Cr 0.2500 0.7500 0.2500
Cr 0.7500 0.2500 0.2500
Cr 0.7500 0.7500 0.7500

## Properties
Density: 7.11 g/cm³



Entry Q
# ScTlCr

An optimized crystal structure of ScTlCr (PBE-GGA, the Alexandria database).

a = 3.3631 Å, b = 3.3631 Å, c = 10.5000 Å
α = 90.00°, β = 90.00°, γ = 90.00°
Positions (direct):
Sc 0.0000 0.0000 0.0000
Sc 0.5000 0.5000 0.5000
Tl 0.0000 0.0000 0.3066
Tl 0.5000 0.5000 0.8066
Cr 0.0000 0.0000 0.6488
Cr 0.5000 0.5000 0.1488

## Properties
Density: 8.43 g/cm³



Which of them is least stable? Easy: entry P.



Entry P
# ScTlCr

An optimized crystal structure of ScTlCr (PBE-GGA, the Alexandria database).

a = 4.7744 Å, b = 4.7744 Å, c = 3.2367 Å
α = 90.00°, β = 90.00°, γ = 120.00°
Positions (direct):
Sc 0.0000 0.0000 0.0000
Tl 0.6667 0.3333 0.5000
Cr 0.3333 0.6667 0.5000

## Properties
Density: 7.83 g/cm³



Entry Q
# ScTlCr

An optimized crystal structure of ScTlCr (PBE-GGA, the Alexandria database).

a = 6.6804 Å, b = 6.6804 Å, c = 6.6804 Å
α = 90.00°, β = 90.00°, γ = 90.00°
Positions (direct):
Sc 0.0000 0.0000 0.0000
Sc 0.0000 0.5000 0.5000
Sc 0.5000 0.0000 0.5000
Sc 0.5000 0.5000 0.0000
Tl 0.2500 0.2500 0.2500
Tl 0.2500 0.7500 0.7500
Tl 0.7500 0.2500 0.7500
Tl 0.7500 0.7500 0.2500
Cr 0.2500 0.2500 0.7500
Cr 0.2500 0.7500 0.2500
Cr 0.7500 0.2500 0.2500
Cr 0.7500 0.7500 0.7500

## Properties
Density: 6.71 g/cm³



Which of them is least stable? Easy: entry Q.



Entry P
# ScVCr

An optimized crystal structure of ScVCr (PBE-GGA, the Alexandria database).

a = 9.5451 Å, b = 4.3091 Å, c = 5.6665 Å
α = 90.00°, β = 124.20°, γ = 90.00°
Positions (direct):
Sc 0.0000 0.0000 0.0000
Sc 0.1514 0.5000 0.8231
Sc 0.5000 0.5000 0.0000
Sc 0.6514 0.0000 0.8231
V 0.1982 0.5000 0.3824
V 0.2875 0.0000 0.6099
V 0.6982 0.0000 0.3824
V 0.7875 0.5000 0.6099
Cr 0.3607 0.0000 0.2119
Cr 0.4790 0.5000 0.4568
Cr 0.8607 0.5000 0.2119
Cr 0.9790 0.0000 0.4568

## Properties
Density: 5.10 g/cm³



Entry Q
# ScVCr

An optimized crystal structure of ScVCr (PBE-GGA, the Alexandria database).

a = 9.3527 Å, b = 4.2658 Å, c = 5.6502 Å
α = 90.00°, β = 123.45°, γ = 90.00°
Positions (direct):
Sc 0.0000 0.0000 0.0000
Sc 0.1494 0.5000 0.8261
Sc 0.5000 0.5000 0.0000
Sc 0.6494 0.0000 0.8261
V 0.2014 0.5000 0.3874
V 0.3661 0.0000 0.2199
V 0.7014 0.0000 0.3874
V 0.8661 0.5000 0.2199
Cr 0.2889 0.0000 0.6165
Cr 0.4929 0.5000 0.4627
Cr 0.7889 0.5000 0.6165
Cr 0.9929 0.0000 0.4627

## Properties
Density: 5.22 g/cm³



Entry R
# ScVCr

An optimized crystal structure of ScVCr (PBE-GGA, the Alexandria database).

a = 3.1046 Å, b = 3.1046 Å, c = 9.8921 Å
α = 90.00°, β = 90.00°, γ = 90.00°
Positions (direct):
Sc 0.0000 0.0000 0.0000
Sc 0.5000 0.5000 0.5000
V 0.0000 0.0000 0.2958
V 0.5000 0.5000 0.7958
Cr 0.0000 0.0000 0.6902
Cr 0.5000 0.5000 0.1902

## Properties
Density: 5.15 g/cm³



Entry S
# ScVCr

An optimized crystal structure of ScVCr (PBE-GGA, the Alexandria database).

a = 10.1793 Å, b = 3.6390 Å, c = 5.3772 Å
α = 90.00°, β = 92.00°, γ = 90.00°
Positions (direct):
Sc 0.0000 0.0000 0.0000
Sc 0.0756 0.5000 0.4835
Sc 0.5000 0.5000 0.0000
Sc 0.5756 0.0000 0.4835
V 0.2579 0.0000 0.7398
V 0.3597 0.5000 0.5015
V 0.7579 0.5000 0.7398
V 0.8597 0.0000 0.5015
Cr 0.2323 0.5000 0.0174
Cr 0.2780 0.0000 0.2493
Cr 0.7323 0.0000 0.0174
Cr 0.7780 0.5000 0.2493

## Properties
Density: 4.93 g/cm³



Which of them is least stable? Easy: entry P.



Entry P
# ScV2Cr

An optimized crystal structure of ScV2Cr (PBE-GGA, the Alexandria database).

a = 4.1569 Å, b = 4.1569 Å, c = 12.2849 Å
α = 90.00°, β = 90.00°, γ = 120.00°
Positions (direct):
Sc 0.0000 0.0000 0.0000
Sc 0.3333 0.6667 0.6667
Sc 0.6667 0.3333 0.3333
V 0.0000 0.0000 0.2274
V 0.0000 0.0000 0.7726
V 0.3333 0.6667 0.4392
V 0.3333 0.6667 0.8941
V 0.6667 0.3333 0.1059
V 0.6667 0.3333 0.5608
Cr 0.0000 0.0000 0.5000
Cr 0.3333 0.6667 0.1667
Cr 0.6667 0.3333 0.8333

## Properties
Density: 5.39 g/cm³



Entry Q
# ScV2Cr

An optimized crystal structure of ScV2Cr (PBE-GGA, the Alexandria database).

a = 3.7171 Å, b = 3.7171 Å, c = 18.9331 Å
α = 90.00°, β = 90.00°, γ = 90.00°
Positions (direct):
Sc 0.0000 0.0000 0.0000
Sc 0.0000 0.5000 0.2500
Sc 0.5000 0.0000 0.7500
Sc 0.5000 0.5000 0.5000
V 0.2380 0.7500 0.6250
V 0.2500 0.2380 0.3750
V 0.2500 0.2620 0.8750
V 0.2620 0.7500 0.1250
V 0.7380 0.2500 0.1250
V 0.7500 0.7380 0.8750
V 0.7500 0.7620 0.3750
V 0.7620 0.2500 0.6250
Cr 0.0000 0.0000 0.5000
Cr 0.0000 0.5000 0.7500
Cr 0.5000 0.0000 0.2500
Cr 0.5000 0.5000 0.0000

## Properties
Density: 5.05 g/cm³



Which of them is least stable? Easy: entry Q.



Entry P
# Sc3VCr

An optimized crystal structure of Sc3VCr (PBE-GGA, the Alexandria database).

a = 4.8437 Å, b = 4.8437 Å, c = 4.8437 Å
α = 90.00°, β = 90.00°, γ = 90.00°
Positions (direct):
Sc 0.0000 0.0000 0.5000
Sc 0.0000 0.5000 0.0000
Sc 0.5000 0.0000 0.0000
V 0.5000 0.5000 0.5000
Cr 0.0000 0.0000 0.0000

## Properties
Density: 3.47 g/cm³



Entry Q
# Sc3VCr

An optimized crystal structure of Sc3VCr (PBE-GGA, the Alexandria database).

a = 4.8812 Å, b = 4.8812 Å, c = 4.8812 Å
α = 90.00°, β = 90.00°, γ = 90.00°
Positions (direct):
Sc 0.0000 0.0000 0.5000
Sc 0.0000 0.5000 0.0000
Sc 0.5000 0.0000 0.0000
V 0.0000 0.0000 0.0000
Cr 0.5000 0.5000 0.5000

## Properties
Density: 3.40 g/cm³



Which of them is least stable? Easy: entry Q.



Entry P
# ScCr2W

An optimized crystal structure of ScCr2W (PBE-GGA, the Alexandria database).

a = 3.6288 Å, b = 3.6288 Å, c = 9.1223 Å
α = 90.00°, β = 90.00°, γ = 90.00°
Positions (direct):
Sc 0.0000 0.0000 0.0000
Sc 0.5000 0.5000 0.5000
Cr 0.0000 0.0000 0.5000
Cr 0.0000 0.5000 0.2500
Cr 0.5000 0.0000 0.7500
Cr 0.5000 0.5000 0.0000
W 0.0000 0.5000 0.7500
W 0.5000 0.0000 0.2500

## Properties
Density: 9.20 g/cm³



Entry Q
# ScCr2W

An optimized crystal structure of ScCr2W (PBE-GGA, the Alexandria database).

a = 2.9453 Å, b = 2.9453 Å, c = 6.9696 Å
α = 90.00°, β = 90.00°, γ = 90.00°
Positions (direct):
Sc 0.0000 0.0000 0.0000
Cr 0.0000 0.0000 0.5391
Cr 0.5000 0.5000 0.7188
W 0.5000 0.5000 0.3077

## Properties
Density: 9.14 g/cm³



Which of them is least stable? Easy: entry P.